The following is a PBE+U calculation of an optimized crystal structure of CaZrMn2O6, from Alexandria.

Cell: 5.7301 5.7301 5.7301 Å, 56.06 56.06 56.06°
Atoms (fractional coordinates):
Ca 0.0000 0.0000 0.0000
Zr 0.5151 0.5151 0.5151
Mn 0.2165 0.2165 0.2165
Mn 0.7259 0.7259 0.7259
O 0.1158 0.4356 0.8410
O 0.3691 0.9438 0.5467
O 0.4356 0.8410 0.1158
O 0.5467 0.3691 0.9438
O 0.8410 0.1158 0.4356
O 0.9438 0.5467 0.3691

Calculated values
Electronic total energy ... -79.03 eV for the cell shown